# Ag2Cl PBEsol relaxed
data_Ag2Cl
_chemical_formula_sum 'Ag4 Cl2'
_symmetry_space_group_name_H-M 'P 1'
_symmetry_Int_Tables_number 1
_cell_length_a 3.6777
_cell_length_b 5.8481
_cell_length_c 6.6251
_cell_angle_alpha 113.15
_cell_angle_beta 106.11
_cell_angle_gamma 90.00
loop_
_symmetry_equiv_pos_as_xyz
'x,y,z'
loop_
_atom_site_label
_atom_site_type_symbol
_atom_site_fract_x
_atom_site_fract_y
_atom_site_fract_z
Ag1 Ag 0.4250 0.2482 0.8499
Ag2 Ag 0.1006 0.4310 0.2013
Ag3 Ag 0.5750 0.7518 0.1501
Cl1 Cl 0.3184 0.7913 0.6369
Cl2 Cl 0.6816 0.2087 0.3631
Ag4 Ag 0.8994 0.5690 0.7987
# ΔE_f (raw) in eV/atom: -0.1683